[1]
A relaxed structure of Li3CaZn8. Source: Alexandria via LeMat-Bulk, functional PBE.

The energy above the most stable polymorph in this dataset is 0.000 eV per atom. As for the calculated formation energy: -203 meV per atom.

The space group is P3m1 (No. 156) and the conventional cell measures 5.2645, 5.2645 and 8.5470 Å, with angles of 90.00, 90.00 and 120.00 degrees. The inequivalent atoms are Li at (0.0000, 0.0000, 0.0000), Li at (0.0000, 0.0000, 0.3623), Li at (0.3333, 0.6667, 0.8863), Ca at (0.3333, 0.6667, 0.4995), Zn at (0.0059, 0.5030, 0.1818), Zn at (0.3259, 0.1629, 0.6967), Zn at (0.6667, 0.3333, 0.4350) and Zn at (0.6667, 0.3333, 0.9391).

***

[2]
A relaxed structure of Li9Ca3Zn2. Source: Alexandria via LeMat-Bulk, functional PBE.

As for the calculated formation energy: -26 meV per atom.

The space group is Immm (No. 71) and the conventional cell measures 4.970, 10.198 and 12.973 Å, with angles of 90.00, 90.00 and 90.00 degrees. The inequivalent atoms are Li at (0.000, 0.000, 0.000), Li at (0.000, 0.154, 0.362), Li at (0.000, 0.209, 0.125), Ca at (0.000, 0.500, 0.000), Ca at (0.000, 0.500, 0.291) and Zn at (0.000, 0.359, 0.500).

***

[3]
A relaxed structure of LiCaZn2. Source: Alexandria via LeMat-Bulk, functional PBE.

The energy above the most stable polymorph in this dataset is 0.000 eV per atom. As for the calculated formation energy: -181 meV per atom.

The space group is Cm (No. 8) and the conventional cell measures 7.643, 4.412 and 5.682 Å, with angles of 90.00, 116.44 and 90.00 degrees. The inequivalent atoms are Li at (0.000, 0.000, 0.000), Ca at (0.199, 0.000, 0.598), Zn at (0.223, 0.500, 0.170) and Zn at (0.405, 0.000, 0.216).

***

[4]
A relaxed structure of LiCaZn. Source: Alexandria via LeMat-Bulk, functional PBE.

The energy above the most stable polymorph in this dataset is 0.047 eV per atom. As for the calculated formation energy: -114 meV per atom.

The space group is I4mm (No. 107) and the conventional cell measures 3.575, 3.575 and 10.788 Å, with angles of 90.00, 90.00 and 90.00 degrees. The inequivalent atoms are Li at (0.000, 0.000, 0.000), Ca at (0.000, 0.000, 0.293) and Zn at (0.000, 0.000, 0.612).

***

[5]
A relaxed structure of LiCa6Zn. Source: Alexandria via LeMat-Bulk, functional PBE.

As for the calculated formation energy: -49 meV per atom.

The space group is I4/mmm (No. 139) and the conventional cell measures 5.412, 5.412 and 18.903 Å, with angles of 90.00, 90.00 and 90.00 degrees. The inequivalent atoms are Li at (0.000, 0.000, 0.000), Ca at (0.000, 0.000, 0.249), Ca at (0.000, 0.500, 0.098) and Zn at (0.000, 0.000, 0.500).

***

[6]
A relaxed structure of Li3CaZn. Source: Alexandria via LeMat-Bulk, functional PBE.

The energy above the most stable polymorph in this dataset is 0.000 eV per atom. As for the calculated formation energy: -65 meV per atom.

The space group is P2_1/m (No. 11) and the conventional cell measures 6.996, 4.608 and 7.137 Å, with angles of 90.00, 101.88 and 90.00 degrees. The inequivalent atoms are Li at (0.081, 0.250, 0.130), Li at (0.298, 0.750, 0.374), Li at (0.361, 0.750, 0.015), Ca at (0.211, 0.250, 0.663) and Zn at (0.461, 0.250, 0.283).

***

[7]
A relaxed structure of Li4CaZn. Source: Alexandria via LeMat-Bulk, functional PBE.

The energy above the most stable polymorph in this dataset is 0.045 eV per atom. As for the calculated formation energy: -3 meV per atom.

The space group is I4/mcm (No. 140) and the conventional cell measures 6.348, 6.348 and 13.696 Å, with angles of 90.00, 90.00 and 90.00 degrees. The inequivalent atoms are Li at (0.155, 0.345, 0.164), Ca at (0.000, 0.000, 0.000) and Zn at (0.000, 0.000, 0.250).

***

[8]
A relaxed structure of Li3CaZn2. Source: Alexandria via LeMat-Bulk, functional PBE.

As for the calculated formation energy: -130 meV per atom.

The space group is C2/m (No. 12) and the conventional cell measures 14.031, 4.359 and 9.246 Å, with angles of 90.00, 122.61 and 90.00 degrees. The inequivalent atoms are Li at (0.059, 0.000, 0.403), Li at (0.078, 0.500, 0.686), Li at (0.236, 0.500, 0.579), Ca at (0.128, 0.000, 0.000), Zn at (0.089, 0.500, 0.226) and Zn at (0.209, 0.000, 0.734).

***

[9]
A relaxed structure of LiCa3Zn2. Source: Alexandria via LeMat-Bulk, functional PBE.

As for the calculated formation energy: -166 meV per atom.

The space group is P4/mmm (No. 123) and the conventional cell measures 3.722, 3.722 and 11.580 Å, with angles of 90.00, 90.00 and 90.00 degrees. The inequivalent atoms are Li at (0.000, 0.000, 0.000), Ca at (0.500, 0.500, 0.188), Ca at (0.500, 0.500, 0.500) and Zn at (0.000, 0.000, 0.338).

***

[10]
A relaxed structure of LiCa2Zn9. Source: Alexandria via LeMat-Bulk, functional PBE.

As for the calculated formation energy: -161 meV per atom.

The space group is R-3m (No. 166, hexagonal axes) and the conventional cell measures 5.4442, 5.4442 and 26.0054 Å, with angles of 90.00, 90.00 and 120.00 degrees. The inequivalent atoms are Li at (0.0000, 0.0000, 0.0000), Ca at (0.0000, 0.0000, 0.1411), Zn at (0.0000, 0.0000, 0.3344), Zn at (0.0000, 0.0000, 0.5000) and Zn at (0.0043, 0.5022, 0.9184).

***

[11]
A relaxed structure of LiCaZn3. Source: Alexandria via LeMat-Bulk, functional PBE.

The energy above the most stable polymorph in this dataset is 0.035 eV per atom. As for the calculated formation energy: -155 meV per atom.

The space group is P2_1/m (No. 11) and the conventional cell measures 5.909, 6.271 and 5.910 Å, with angles of 90.00, 114.25 and 90.00 degrees. The inequivalent atoms are Li at (0.096, 0.250, 0.403), Ca at (0.234, 0.750, 0.266), Zn at (0.283, 0.001, 0.783) and Zn at (0.352, 0.250, 0.148).

***

[12]
A relaxed structure of Li5Ca4Zn2. Source: Alexandria via LeMat-Bulk, functional PBE.

As for the calculated formation energy: -38 meV per atom.

The space group is P2/m (No. 10) and the conventional cell measures 7.675, 4.182 and 9.574 Å, with angles of 90.00, 93.32 and 90.00 degrees. The inequivalent atoms are Li at (0.000, 0.000, 0.000), Li at (0.056, 0.000, 0.323), Li at (0.337, 0.000, 0.856), Ca at (0.267, 0.500, 0.572), Ca at (0.312, 0.500, 0.144) and Zn at (0.430, 0.000, 0.369).

***

[13]
A relaxed structure of LiCaZn2. Source: Alexandria via LeMat-Bulk, functional PBE.

The energy above the most stable polymorph in this dataset is 0.010 eV per atom. As for the calculated formation energy: -171 meV per atom.

The space group is P2/m (No. 10) and the conventional cell measures 3.470, 3.394 and 6.857 Å, with angles of 90.00, 90.13 and 90.00 degrees. The inequivalent atoms are Li at (0.000, 0.000, 0.000), Ca at (0.000, 0.000, 0.500) and Zn at (0.500, 0.500, 0.196).

***

[14]
A relaxed structure of LiCaZn11. Source: Alexandria via LeMat-Bulk, functional PBE.

As for the calculated formation energy: -147 meV per atom.

The space group is C2/m (No. 12) and the conventional cell measures 5.223, 12.611 and 6.859 Å, with angles of 90.00, 112.35 and 90.00 degrees. The inequivalent atoms are Li at (0.000, 0.000, 0.000), Ca at (0.000, 0.500, 0.500), Zn at (0.000, 0.500, 0.000), Zn at (0.109, 0.109, 0.722), Zn at (0.184, 0.324, 0.855) and Zn at (0.250, 0.250, 0.500).

***

[15]
A relaxed structure of Li6CaZn2. Source: Alexandria via LeMat-Bulk, functional PBE.

As for the calculated formation energy: -82 meV per atom.

The space group is P4/mmm (No. 123) and the conventional cell measures 4.146, 4.146 and 10.795 Å, with angles of 90.00, 90.00 and 90.00 degrees. The inequivalent atoms are Li at (0.000, 0.000, 0.000), Li at (0.000, 0.500, 0.214), Li at (0.500, 0.500, 0.000), Ca at (0.000, 0.000, 0.500) and Zn at (0.500, 0.500, 0.380).

***

[16]
A relaxed structure of Li7Ca3Zn2. Source: Alexandria via LeMat-Bulk, functional PBE.

As for the calculated formation energy: -66 meV per atom.

The space group is R-3m (No. 166, hexagonal axes) and the conventional cell measures 5.8026, 5.8026 and 28.9839 Å, with angles of 90.00, 90.00 and 120.00 degrees. The inequivalent atoms are Li at (0.0000, 0.0000, 0.0000), Li at (0.0007, 0.5004, 0.4240), Ca at (0.0000, 0.0000, 0.3597), Ca at (0.0000, 0.0000, 0.5000) and Zn at (0.0000, 0.0000, 0.1667).

***

[17]
A relaxed structure of Li7CaZn5. Source: Alexandria via LeMat-Bulk, functional PBE.

As for the calculated formation energy: -168 meV per atom.

The space group is Imm2 (No. 44) and the conventional cell measures 5.246, 9.298 and 9.382 Å, with angles of 90.00, 90.00 and 90.00 degrees. The inequivalent atoms are Li at (0.000, 0.000, 0.000), Li at (0.000, 0.000, 0.309), Li at (0.000, 0.284, 0.158), Li at (0.000, 0.352, 0.665), Li at (0.000, 0.500, 0.386), Ca at (0.000, 0.000, 0.651), Zn at (0.000, 0.500, 0.938) and Zn at (0.249, 0.247, 0.410).

***

[18]
A relaxed structure of Li3CaZn8. Source: Alexandria via LeMat-Bulk, functional PBE.

The energy above the most stable polymorph in this dataset is 0.011 eV per atom. As for the calculated formation energy: -192 meV per atom.

The space group is R3m (No. 160, hexagonal axes) and the conventional cell measures 5.2226, 5.2226 and 26.1647 Å, with angles of 90.00, 90.00 and 120.00 degrees. The inequivalent atoms are Li at (0.0000, 0.0000, 0.0000), Li at (0.0000, 0.0000, 0.1188), Li at (0.0000, 0.0000, 0.4904), Ca at (0.0000, 0.0000, 0.6188), Zn at (0.0000, 0.0000, 0.3068), Zn at (0.0000, 0.0000, 0.8053), Zn at (0.0030, 0.5015, 0.0580) and Zn at (0.1674, 0.3348, 0.8861).

***

[19]
A relaxed structure of Li3CaZn2. Source: Alexandria via LeMat-Bulk, functional PBE.

As for the calculated formation energy: -131 meV per atom.

The space group is P6/mmm (No. 191) and the conventional cell measures 9.7184, 9.7184 and 4.4945 Å, with angles of 90.00, 90.00 and 120.00 degrees. The inequivalent atoms are Li at (0.0000, 0.2971, 0.0000), Li at (0.0000, 0.5000, 0.5000), Ca at (0.0000, 0.0000, 0.5000), Ca at (0.3333, 0.6667, 0.0000) and Zn at (0.1844, 0.3687, 0.5000).

***

[20]
A relaxed structure of Li4Ca5Zn4. Source: Alexandria via LeMat-Bulk, functional PBE.

As for the calculated formation energy: -154 meV per atom.

The space group is I4/m (No. 87) and the conventional cell measures 12.186, 12.186 and 4.401 Å, with angles of 90.00, 90.00 and 90.00 degrees. The inequivalent atoms are Li at (0.072, 0.399, 0.000), Ca at (0.000, 0.000, 0.500), Ca at (0.131, 0.792, 0.000) and Zn at (0.056, 0.256, 0.500).

***

Number 1: VASP energy -20.4 eV per cell. Number 2: VASP energy -52.3 eV per cell. Number 3: VASP energy -14.4 eV per cell. Number 4: VASP energy -11.1 eV per cell. Number 5: VASP energy -31.2 eV per cell. Number 6: VASP energy -18.7 eV per cell. Number 7: VASP energy -43.8 eV per cell. Number 8: VASP energy -44.3 eV per cell. Number 9: VASP energy -11.5 eV per cell. Number 10: VASP energy -57.9 eV per cell. Number 11: VASP energy -17.0 eV per cell. Number 12: VASP energy -20.5 eV per cell. Number 13: VASP energy -7.1 eV per cell. Number 14: VASP energy -39.7 eV per cell. Number 15: VASP energy -16.8 eV per cell. Number 16: VASP energy -68.2 eV per cell. Number 17: VASP energy -47.9 eV per cell. Number 18: VASP energy -60.7 eV per cell. Number 19: VASP energy -33.2 eV per cell. Number 20: VASP energy -49.5 eV per cell.